[1]
6
Lattice="3.722 0.000 0.000 0.000 3.722 0.000 0.000 0.000 5.377" Properties=species:S:1:pos:R:3 comment="PrErH4 (PBE, optimized geometry)" final_energy_ev_per_cell=-26.7 pbc="T T T"
Pr 0.000 0.000 0.000
Er 1.861 1.861 2.688
H 0.000 1.861 1.470
H 0.000 1.861 3.907
H 1.861 0.000 1.470
H 1.861 0.000 3.907



[2]
10
Lattice="2.704 1.561 5.991 -2.704 1.561 5.991 0.000 -3.122 5.991" Properties=species:S:1:pos:R:3 comment="ScAgF3 (PBE, optimized geometry)" final_energy_ev_per_cell=-56.5 polymorph_energy_mev_per_atom=0.0 pbc="T T T"
Sc 0.000 0.000 3.430
Sc 0.000 0.000 14.543
Ag 0.000 0.000 6.289
Ag 0.000 0.000 11.684
F -0.752 -1.756 8.042
F -1.897 -0.227 9.931
F -1.145 1.529 8.042
F 1.145 -1.529 9.931
F 1.897 0.227 8.042
F 0.752 1.756 9.931



[3]
3
Lattice="0.000 3.547 3.547 3.547 0.000 3.547 3.547 3.547 0.000" Properties=species:S:1:pos:R:3 comment="CsZrAs (PBE, optimized geometry)" final_energy_ev_per_cell=-12.5 polymorph_energy_mev_per_atom=0.0 pbc="T T T"
Cs 0.000 0.000 0.000
Zr 5.320 5.320 5.320
As 3.547 3.547 3.547



[4]
4
Lattice="0.000 3.567 3.567 3.567 0.000 3.567 3.567 3.567 0.000" Properties=species:S:1:pos:R:3 comment="BaLiZrAu (PBE, optimized geometry)" final_energy_ev_per_cell=-15.2 polymorph_energy_mev_per_atom=0.0 pbc="T T T"
Ba 0.000 0.000 0.000
Li 5.351 5.351 5.351
Zr 1.784 1.784 1.784
Au 3.567 3.567 3.567